Entry 1:
The following is a PBE-GGA calculation of a geometry-optimized Sm4Bi2PSe structure, from the Alexandria database.

Cell: 7.498 4.325 7.588 Å, 90.00 109.12 90.00°
Space group P2/m (No. 10)
Symmetry-distinct sites (fractional):
1 Sm 0.233 0.000 0.224
2 Sm 0.248 0.500 0.772
3 Bi 0.000 0.000 0.500
4 Bi 0.500 0.500 0.500
5 P 0.000 0.500 0.000
6 Se 0.500 0.000 0.000

Output
For the density, the calculation gives 8.067 g/cm³. The crystal system is monoclinic. Its uncorrected formation energy is -1.301 eV/atom. Its volume is 232.47 Å³/cell.


Entry 2:
The following is a PBE-GGA calculation of a geometry-optimized La2Ag structure, from the Alexandria database.

Cell: 7.520 7.520 7.520 Å, 90.00 90.00 90.00°
Space group Pa-3 (No. 205)
Symmetry-distinct sites (fractional):
1 La 0.149 0.149 0.149
2 Ag 0.000 0.000 0.500

Output
For the density, the calculation gives 6.023 g/cm³. The crystal system is cubic. Its volume is 425.32 Å³/cell. The calculation puts the energy at -50.24 eV for the cell shown.


Please write out number 1 again, unchanged.
The following is a PBE-GGA calculation of a geometry-optimized Sm4Bi2PSe structure, from the Alexandria database.

Cell: 7.498 4.325 7.588 Å, 90.00 109.12 90.00°
Space group P2/m (No. 10)
Symmetry-distinct sites (fractional):
1 Sm 0.233 0.000 0.224
2 Sm 0.248 0.500 0.772
3 Bi 0.000 0.000 0.500
4 Bi 0.500 0.500 0.500
5 P 0.000 0.500 0.000
6 Se 0.500 0.000 0.000

Output
For the density, the calculation gives 8.067 g/cm³. The crystal system is monoclinic. Its uncorrected formation energy is -1.301 eV/atom. Its volume is 232.47 Å³/cell.


> Look up the density of the second one.

6.023 g/cm³